{
  "formula": "Mn2CrCu",
  "functional": "PBE-GGA",
  "state": "optimized geometry",
  "lattice_angstrom": [[-2.651, 1.909, -2.549], [-4.042, -0.895, 0.166], [-2.678, 2.783, 1.501]],
  "species": ["Cu", "Mn", "Mn", "Cr"],
  "fractional_positions": [[0.750, 0.750, 0.750], [0.250, 0.250, 0.250], [0.000, 0.000, 0.000], [0.500, 0.500, 0.500]],
  "dos_at_fermi_per_ev_cell": 3.13,
  "magnetic_moment_mub_per_cell": 3.02,
  "e_form_ev_per_atom": 0.225,
  "dft_energy_ev_per_atom": -7.790
}

***

{
  "formula": "MnCr2Cu",
  "functional": "PBE-GGA",
  "state": "optimized geometry",
  "lattice_angstrom": [[-5.606, -2.749, -1.375], [3.073, -4.960, -2.612], [-1.245, -4.983, 0.174]],
  "species": ["Mn", "Cu", "Cr", "Cr", "Cr", "Cu", "Cr", "Mn"],
  "fractional_positions": [[0.250, 0.750, 0.500], [0.750, 0.250, 0.500], [0.875, 0.841, 0.750], [0.375, 0.409, 0.750], [0.591, 0.125, 0.250], [0.000, 0.000, 0.000], [0.159, 0.625, 0.250], [0.500, 0.500, 0.000]],
  "dos_at_fermi_per_ev_cell": 8.77,
  "de_polymorph_ev_per_atom": 0.519,
  "magnetic_moment_mub_per_cell": 0.00,
  "e_form_ev_per_atom": 0.688,
  "dft_energy_ev_per_atom": -7.440
}